No. 1
DFT (GGA-PBE) results for a relaxed CaSm3Sb4 crystal.

Cell: 4.4641 7.7887 7.7887 Å, 109.24 90.00 90.00°
Last column: nearest neighbours and their distance in Å.
Atoms (fractional coordinates):
Sb: 0.5000 0.7488 0.2512  5 Sm 3.16-3.17, 1 Ca 3.19
Sb: 0.0000 0.2532 0.2532  4 Sm 3.15-3.18, 2 Ca 3.19
Sb: 0.5000 0.2512 0.7488  5 Sm 3.16-3.17, 1 Ca 3.19
Sb: 0.0000 0.7468 0.7468  4 Sm 3.15-3.18, 2 Ca 3.19
Sm: 0.5000 0.5000 0.5000  6 Sb 3.15-3.16
Sm: 0.0000 0.0000 0.5000  6 Sb 3.17-3.18
Sm: 0.0000 0.5000 0.0000  6 Sb 3.17-3.18
Ca: 0.5000 0.0000 0.0000  6 Sb 3.19

Output
formation energy (no corrections) = -1.063 eV per atom
energy above the lowest structure with this stoichiometry = 0.0 meV per atom
volume = 256 Å³ per cell
symmetry = Cmmm

No. 2
DFT (GGA-PBE) results for a relaxed BPdSe2 crystal.

Cell: 4.0356 13.7708 3.2792 Å, 92.09 90.00 98.43°
Last column: nearest neighbours and their distance in Å.
Atoms (fractional coordinates):
Se: 0.6873 0.3745 0.2202  2 B 2.03-2.05
Se: 0.5700 0.1400 0.7032  1 B 1.98
Se: 0.4300 0.8600 0.2968  1 B 1.98
Se: 0.3127 0.6255 0.7798  2 B 2.03-2.05
B: 0.3573 0.7146 0.2971  3 Se 1.98-2.05
B: 0.6427 0.2854 0.7029  3 Se 1.98-2.05
Pd: 0.1234 0.2468 0.9573  2 B 2.25
Pd: 0.8766 0.7532 0.0427  2 B 2.25

Output
formation energy (no corrections) = -0.041 eV per atom
energy above the lowest structure with this stoichiometry = 0.0 meV per atom
volume = 180 Å³ per cell
symmetry = C2/m

No. 3
DFT (GGA-PBE) results for a relaxed PuTiS2O crystal.

Cell: 3.6489 3.6489 12.6744 Å, 90.00 90.00 90.00°
Last column: nearest neighbours and their distance in Å.
Atoms (fractional coordinates):
S: 0.5000 0.0000 0.8978  5 Ti 2.45-2.58
S: 0.0000 0.5000 0.7142  1 Ti 2.46
S: 0.5000 0.0000 0.2858  1 Ti 2.46
S: 0.0000 0.5000 0.1022  5 Ti 2.45-2.58
Pu: 0.0000 0.5000 0.3932  4 O 2.27
Pu: 0.5000 0.0000 0.6068  4 O 2.27
Ti: 0.0000 0.5000 0.9085  6 S 2.45-2.58
Ti: 0.5000 0.0000 0.0915  6 S 2.45-2.58
O: 0.5000 0.5000 0.5000  4 Pu 2.27
O: 0.0000 0.0000 0.5000  4 Pu 2.27

Output
formation energy (no corrections) = -1.942 eV per atom
volume = 169 Å³ per cell
symmetry = P4/nmm

No. 4
DFT (GGA-PBE) results for a relaxed Ho4Bi2PbSe crystal.

Cell: 4.3530 7.5769 7.5584 Å, 70.70 90.00 90.00°
Last column: nearest neighbours and their distance in Å.
Atoms (fractional coordinates):
Bi: 0.0000 0.0000 0.0000  6 Ho 3.11-3.12
Bi: 0.5000 0.0000 0.5000  6 Ho 3.13-3.15
Ho: 0.5000 0.7410 0.2485  1 Se 3.02, 2 Pb 3.06, 3 Bi 3.11-3.15
Ho: 0.5000 0.2590 0.7515  1 Se 3.02, 2 Pb 3.06, 3 Bi 3.11-3.15
Ho: 0.0000 0.7395 0.7545  2 Se 3.04, 1 Pb 3.05, 3 Bi 3.12-3.13
Ho: 0.0000 0.2605 0.2455  2 Se 3.04, 1 Pb 3.05, 3 Bi 3.12-3.13
Se: 0.5000 0.5000 0.0000  6 Ho 3.02-3.04
Pb: 0.0000 0.5000 0.5000  6 Ho 3.05-3.06

Output
formation energy (no corrections) = -0.949 eV per atom
volume = 235 Å³ per cell
symmetry = P2/m

No. 5
DFT (GGA-PBE) results for a relaxed SrAlTe2N crystal.

Cell: 5.9221 5.9221 3.5632 Å, 90.00 90.00 90.00°
Last column: nearest neighbours and their distance in Å.
Atoms (fractional coordinates):
N: 0.0000 0.0000 0.5000  2 Al 1.78
Te: 0.5000 0.0000 0.0000  2 Al 2.96
Te: 0.0000 0.5000 0.0000  2 Al 2.96
Sr: 0.5000 0.5000 0.5000  8 Te 3.46, 2 Sr 3.56
Al: 0.0000 0.0000 0.0000  2 N 1.78

Output
formation energy (no corrections) = -0.431 eV per atom
energy above the lowest structure with this stoichiometry = 0.0 meV per atom
volume = 125 Å³ per cell
symmetry = P4/mmm